This record from the Alexandria database describes a relaxed structure of BaCaPb2. The functional is GGA-PBE.

abc: 6.155 6.155 3.794
angles: 90.14 90.14 105.01
Fractional coordinates of all 4 atoms:
Ba  0.000  0.000  0.000
Ca  0.500  0.500  0.000
Pb  0.000  0.500  0.500
Pb  0.500  0.000  0.500

## Properties
E_form   -468 meV/atom
Symmetry   C2/m (12)


This record from the Alexandria database describes a relaxed structure of AcHoSnRu. The functional is GGA-PBE.

abc: 5.304 5.304 5.304
angles: 60.00 60.00 60.00
Fractional coordinates of all 4 atoms:
Ac  0.000  0.000  0.000
Ho  0.500  0.500  0.500
Sn  0.750  0.750  0.750
Ru  0.250  0.250  0.250

## Properties
E_form   -195 meV/atom
Symmetry   F-43m (216)


This record from the Alexandria database describes a relaxed structure of SmPu2Sn9. The functional is GGA-PBE.

abc: 4.694 4.694 14.080
angles: 90.00 90.00 90.00
Fractional coordinates of all 12 atoms:
Sm  0.000  0.000  0.000
Pu  0.000  0.000  0.335
Pu  0.000  0.000  0.665
Sn  0.000  0.500  0.170
Sn  0.000  0.500  0.500
Sn  0.000  0.500  0.830
Sn  0.500  0.000  0.170
Sn  0.500  0.000  0.500
Sn  0.500  0.000  0.830
Sn  0.500  0.500  0.000
Sn  0.500  0.500  0.335
Sn  0.500  0.500  0.665

## Properties
E_form   -400 meV/atom
Symmetry   P4/mmm (123)


This record from the Alexandria database describes a relaxed structure of Tb3Sm7Ho2. The functional is GGA-PBE.

abc: 11.806 11.806 11.806
angles: 32.29 32.29 32.29
Fractional coordinates of all 12 atoms:
Tb  0.000  0.000  0.000
Tb  0.152  0.152  0.152
Tb  0.848  0.848  0.848
Sm  0.079  0.587  0.587
Sm  0.413  0.413  0.921
Sm  0.413  0.921  0.413
Sm  0.500  0.500  0.500
Sm  0.587  0.079  0.587
Sm  0.587  0.587  0.079
Sm  0.921  0.413  0.413
Ho  0.334  0.334  0.334
Ho  0.666  0.666  0.666

## Properties
E_form   295 meV/atom
Symmetry   R-3m (166)
Offset from the most stable computed form   185 meV per atom


This record from the Alexandria database describes a relaxed structure of LuPuPa2. The functional is GGA-PBE.

abc: 3.300 3.300 9.320
angles: 90.00 90.00 90.00
Fractional coordinates of all 4 atoms:
Lu  0.000  0.000  0.000
Pu  0.000  0.000  0.500
Pa  0.500  0.500  0.267
Pa  0.500  0.500  0.733

## Properties
E_form   166 meV/atom
Symmetry   P4/mmm (123)
Offset from the most stable computed form   3 meV per atom


This record from the Alexandria database describes a relaxed structure of Al2RePt. The functional is GGA-PBE.

abc: 2.719 4.313 5.208
angles: 90.00 105.02 90.00
Fractional coordinates of all 4 atoms:
Al  0.000  0.000  0.000
Al  0.159  0.500  0.324
Re  0.424  0.500  0.846
Pt  0.741  0.000  0.486

## Properties
E_form   -395 meV/atom
Symmetry   Pm (6)
Offset from the most stable computed form   207 meV per atom


This record from the Alexandria database describes a relaxed structure of SmZn2TcH6. The functional is GGA-PBE.

abc: 4.545 5.850 8.533
angles: 90.00 122.17 90.00
Fractional coordinates of all 20 atoms:
Sm  0.000  0.000  0.000
Sm  0.000  0.500  0.500
Zn  0.234  0.038  0.716
Zn  0.234  0.462  0.216
Zn  0.766  0.538  0.784
Zn  0.766  0.962  0.284
Tc  0.500  0.000  0.500
Tc  0.500  0.500  0.000
H  0.136  0.121  0.296
H  0.136  0.379  0.796
H  0.194  0.646  0.025
H  0.194  0.854  0.525
H  0.468  0.709  0.408
H  0.468  0.791  0.908
H  0.532  0.209  0.092
H  0.532  0.291  0.592
H  0.806  0.146  0.475
H  0.806  0.354  0.975
H  0.864  0.621  0.204
H  0.864  0.879  0.704

## Properties
Symmetry   P2_1/c (14)
VASP energy   -38.3 eV per formula unit


This record from the Alexandria database describes a relaxed structure of GeH3Se. The functional is GGA-PBE.

abc: 5.342 6.507 6.629
angles: 97.41 108.34 113.96
Fractional coordinates of all 10 atoms:
Ge  0.000  0.000  0.000
Ge  0.059  0.573  0.452
H  0.017  0.791  0.501
H  0.082  0.073  0.250
H  0.272  0.108  0.942
H  0.300  0.571  0.654
H  0.738  0.036  0.862
H  0.764  0.343  0.362
Se  0.250  0.599  0.167
Se  0.816  0.579  0.896

## Properties
Symmetry   P1 (1)
Offset from the most stable computed form   0 meV per atom


This record from the Alexandria database describes a relaxed structure of Li2PrAlO4. The functional is GGA-PBE.

abc: 4.960 4.960 4.960
angles: 116.48 116.48 96.22
Fractional coordinates of all 8 atoms:
Li  0.250  0.750  0.500
Li  0.750  0.250  0.500
Pr  0.000  0.000  0.000
Al  0.500  0.500  0.000
O  0.148  0.148  0.598
O  0.450  0.852  0.000
O  0.550  0.550  0.402
O  0.852  0.450  0.000

## Properties
Symmetry   I-42m (121)
E_form (uncorrected)   -2.73 eV per atom


This record from the Alexandria database describes a relaxed structure of GaCuB3. The functional is GGA-PBE.

abc: 4.104 4.104 4.104
angles: 90.00 90.00 90.00
Fractional coordinates of all 5 atoms:
Ga  0.000  0.000  0.000
Cu  0.500  0.500  0.500
B  0.000  0.000  0.500
B  0.000  0.500  0.000
B  0.500  0.000  0.000

## Properties
E_form   2027 meV/atom
Symmetry   Pm-3m (221)
Offset from the most stable computed form   494 meV per atom


This record from the Alexandria database describes a relaxed structure of ZrNi8Pd3. The functional is GGA-PBE.

abc: 8.240 8.240 8.240
angles: 33.70 33.70 33.70
Fractional coordinates of all 12 atoms:
Zr  0.000  0.000  0.000
Ni  0.062  0.062  0.561
Ni  0.062  0.561  0.062
Ni  0.064  0.563  0.563
Ni  0.312  0.312  0.312
Ni  0.561  0.062  0.062
Ni  0.563  0.064  0.563
Ni  0.563  0.563  0.064
Ni  0.813  0.813  0.813
Pd  0.125  0.125  0.125
Pd  0.500  0.500  0.500
Pd  0.625  0.625  0.625

## Properties
E_form   -189 meV/atom
Symmetry   R3m (160)